Compound: CrRu3Cl
Source: the Alexandria database
Functional: PBE-GGA
Structure: relaxed

Lattice parameters (Å, degrees): 4.550 4.550 4.550 90.00 90.00 90.00
Fractional coordinates of all 5 atoms:
Cl: 0.500 0.500 0.500
Ru: 0.000 0.000 0.500
Ru: 0.000 0.500 0.000
Ru: 0.500 0.000 0.000
Cr: 0.000 0.000 0.000

## Properties
- ΔE_f (raw): 1531 meV/atom
- Energy above the most stable polymorph in this dataset: 29 kJ/mol of formula units
- DOS(E_F): 7.73 states/eV per cell



Compound: RbInB2F
Source: the Alexandria database
Functional: PBE-GGA
Structure: relaxed

Lattice parameters (Å, degrees): 4.311 8.980 4.311 90.00 90.00 90.00
Fractional coordinates of all 5 atoms:
In: 0.000 0.000 0.000
B: 0.500 0.000 0.000
B: 0.000 0.000 0.500
Rb: 0.000 0.500 0.000
F: 0.500 0.500 0.500

## Properties
- ΔE_f (raw): 611 meV/atom
- DOS(E_F): 2.68 states/eV per cell



Compound: NaAs2WSe
Source: the Alexandria database
Functional: PBE-GGA
Structure: relaxed

Lattice parameters (Å, degrees): 4.912 4.912 5.132 90.00 90.00 90.00
Fractional coordinates of all 5 atoms:
Se: 0.000 0.000 0.500
Na: 0.500 0.500 0.500
As: 0.000 0.500 0.000
As: 0.500 0.000 0.000
W: 0.000 0.000 0.000

## Properties
- ΔE_f (raw): 93 meV/atom
- Energy above the most stable polymorph in this dataset: 0 kJ/mol of formula units
- DOS(E_F): 3.82 states/eV per cell



Compound: Sm2TeS5
Source: the Alexandria database
Functional: PBE-GGA
Structure: relaxed

Lattice parameters (Å, degrees): 5.397 7.322 13.137 90.00 90.00 111.63
Fractional coordinates of all 16 atoms:
Sm: 0.841 0.682 0.432
Sm: 0.159 0.318 0.932
Sm: 0.159 0.318 0.568
Sm: 0.841 0.682 0.068
S: 0.277 0.553 0.750
S: 0.723 0.447 0.250
S: 0.045 0.089 0.112
S: 0.045 0.089 0.388
S: 0.697 0.393 0.580
S: 0.955 0.911 0.888
S: 0.303 0.607 0.420
S: 0.303 0.607 0.080
S: 0.955 0.911 0.612
S: 0.697 0.393 0.920
Te: 0.835 0.670 0.750
Te: 0.165 0.330 0.250

## Properties
- ΔE_f (raw): -1193 meV/atom



Compound: Nd4TePb3
Source: the Alexandria database
Functional: PBE-GGA
Structure: relaxed

Lattice parameters (Å, degrees): 4.413 7.988 7.988 72.39 89.97 89.97
Fractional coordinates of all 8 atoms:
Pb: 0.000 0.000 0.000
Pb: 0.500 0.000 0.500
Pb: 0.000 0.500 0.500
Nd: 0.500 0.252 0.752
Nd: 0.000 0.253 0.247
Nd: 0.500 0.748 0.248
Nd: 0.000 0.747 0.753
Te: 0.500 0.500 0.000

## Properties
- ΔE_f (raw): -737 meV/atom
- DOS(E_F): 4.85 states/eV per cell



Compound: PmY5Sc2
Source: the Alexandria database
Functional: PBE-GGA
Structure: relaxed

Lattice parameters (Å, degrees): 7.077 12.169 11.328 90.00 90.00 90.00
Fractional coordinates of all 32 atoms:
Y: 0.754 0.000 0.000
Y: 0.755 0.833 0.251
Y: 0.245 0.667 0.751
Y: 0.245 0.833 0.251
Y: 0.000 0.745 0.001
Y: 0.754 0.500 0.500
Y: 0.755 0.167 0.749
Y: 0.500 0.746 0.000
Y: 0.000 0.755 0.501
Y: 0.000 0.255 0.999
Y: 0.246 0.500 0.500
Y: 0.000 0.245 0.499
Y: 0.246 0.000 0.000
Y: 0.755 0.333 0.249
Y: 0.500 0.254 0.000
Y: 0.500 0.754 0.500
Y: 0.755 0.667 0.751
Y: 0.245 0.167 0.749
Y: 0.245 0.333 0.249
Y: 0.500 0.246 0.500
Sc: 0.757 0.000 0.500
Sc: 0.243 0.500 0.000
Sc: 0.243 0.000 0.500
Sc: 0.000 0.418 0.755
Sc: 0.000 0.582 0.245
Sc: 0.000 0.918 0.745
Sc: 0.000 0.082 0.255
Sc: 0.757 0.500 0.000
Pm: 0.500 0.580 0.246
Pm: 0.500 0.920 0.746
Pm: 0.500 0.080 0.254
Pm: 0.500 0.420 0.754

## Properties
- ΔH_f (0 K): 36.9 meV/atom
- Energy above the most stable polymorph in this dataset: 0 kJ/mol of formula units
- DOS(E_F): 50.27 states/eV per cell



Compound: Li4U3Te8Pd
Source: the Alexandria database
Functional: PBE-GGA
Structure: relaxed

Lattice parameters (Å, degrees): 8.427 8.617 8.430 119.30 119.99 90.00
Fractional coordinates of all 16 atoms:
Te: 0.764 0.751 0.007
Te: 0.755 0.766 0.510
Te: 0.756 0.249 0.993
Te: 0.244 0.751 0.007
Te: 0.756 0.248 0.511
Te: 0.244 0.752 0.489
Te: 0.236 0.249 0.993
Te: 0.245 0.234 0.490
Li: 0.000 0.000 0.000
Li: 0.000 0.000 0.500
Li: 0.500 0.000 0.500
Li: 0.500 0.000 0.000
U: 0.500 0.500 0.000
U: 0.000 0.500 0.500
U: 0.500 0.500 0.500
Pd: 0.000 0.500 0.000

## Properties
- ΔE_f (raw): -696 meV/atom
- DOS(E_F): 19.24 states/eV per cell



Compound: Li3AgTe2
Source: the Alexandria database
Functional: PBE-GGA
Structure: relaxed

Lattice parameters (Å, degrees): 6.669 6.883 8.104 115.13 114.30 90.00
Fractional coordinates of all 12 atoms:
Te: 0.151 0.861 0.723
Te: 0.849 0.139 0.277
Te: 0.571 0.361 0.723
Te: 0.429 0.639 0.277
Li: 0.227 0.977 0.454
Li: 0.773 0.023 0.546
Li: 0.500 0.750 0.000
Li: 0.773 0.523 0.546
Li: 0.227 0.477 0.454
Li: 0.500 0.250 0.000
Ag: 0.000 0.500 0.000
Ag: 0.000 0.000 0.000

## Properties
- ΔE_f (raw): -758 meV/atom
- DOS(E_F): 0.00 states/eV per cell



Calculated volume (Å³/atom), listed in the same order as above: 18.83; 33.38; 24.77; 30.16; 33.54; 30.49; 27.34; 25.00